This record from Alexandria describes a geometry-optimized Ag4Hg2Au3 structure. The functional is PBE-GGA.

Cell lengths 12.551, 4.235, 6.732 Å; angles 90.00, 108.18, 90.00 degrees
Space group C2/m (No. 12)
Unique sites:
Ag1 0.057 0.000 0.341 x4
Ag2 0.222 0.500 0.342 x4
Hg1 0.163 0.000 0.002 x4
Au1 0.000 0.500 0.000 x2
Au2 0.109 0.500 0.661 x4

DFT formation energy = 0.02 eV per atom
M_tot = 0.00 Bohr magnetons per cell
excess energy over the best structure of this formula in the dataset = 0.057 eV/f.u.
energy = -43.403 eV per cell
volume = 18.9 A^3/atom

=====

This record from Alexandria describes a geometry-optimized TbNd5Th2 structure. The functional is PBE-GGA.

Cell lengths 3.567, 11.443, 13.459 Å; angles 90.00, 90.00, 90.00 degrees
Space group Immm (No. 71)
Unique sites:
Tb1 0.000 0.000 0.000 x2
Nd1 0.000 0.238 0.370 x8
Nd2 0.000 0.500 0.000 x2
Th1 0.000 0.500 0.258 x4

DFT formation energy = 0.11 eV per atom
M_tot = 0.00 Bohr magnetons per cell
energy = -84.915 eV per cell
volume = 34.3 A^3/atom

=====

This record from Alexandria describes a geometry-optimized NdYBr structure. The functional is PBE-GGA.

Cell lengths 3.7784, 3.7784, 7.4689 Å; angles 90.00, 90.00, 120.00 degrees
Space group P3m1 (No. 156)
Unique sites:
Nd1 0.0000 0.0000 0.0000 x1
Y1 0.6667 0.3333 0.3685 x1
Br1 0.3333 0.6667 0.6679 x1

M_tot = 0.37 Bohr magnetons per cell
excess energy over the best structure of this formula in the dataset = 0.000 eV/f.u.
energy = -15.178 eV per cell
volume = 30.8 A^3/atom

=====

This record from Alexandria describes a geometry-optimized Dy3Cd3Hg structure. The functional is PBE-GGA.

Cell lengths 3.507, 4.913, 20.846 Å; angles 90.00, 90.00, 90.00 degrees
Space group Imm2 (No. 44)
Unique sites:
Dy1 0.000 0.000 0.000 x2
Dy2 0.000 0.000 0.400 x2
Dy3 0.000 0.500 0.204 x2
Cd1 0.000 0.000 0.557 x2
Cd2 0.000 0.000 0.846 x2
Cd3 0.000 0.500 0.632 x2
Hg1 0.000 0.500 0.769 x2

DFT formation energy = -0.30 eV per atom
M_tot = 0.00 Bohr magnetons per cell
energy = -37.921 eV per cell
volume = 25.7 A^3/atom